1.
The following is a DFT calculation (GGA-PBE) of an optimized crystal structure of Mn3Si.

a = 2.595 Å, b = 3.534 Å, c = 5.044 Å
α = 90.00°, β = 90.00°, γ = 90.00°
Fractional positions:
Mn1 0.000 0.000 0.000
Mn2 0.500 0.500 0.253
Mn3 0.500 0.500 0.747
Si1 0.000 0.000 0.500

For the formation energy from raw total energies, the calculation gives -0.8 eV per formula unit. The density is 6.9 g/cm3. The calculation puts the energy at -8.439 eV per atom.

---

2.
The following is a DFT calculation (GGA-PBE) of an optimized crystal structure of Tb5HgPd2.

a = 8.667 Å, b = 8.667 Å, c = 8.667 Å
α = 125.68°, β = 125.68°, γ = 80.41°
Fractional positions:
Tb1 0.000 0.000 0.000
Tb2 0.018 0.518 0.818
Tb3 0.199 0.018 0.500
Tb4 0.301 0.801 0.818
Tb5 0.482 0.301 0.500
Tb6 0.500 0.500 0.000
Tb7 0.518 0.699 0.500
Tb8 0.699 0.199 0.182
Tb9 0.801 0.982 0.500
Tb10 0.982 0.482 0.182
Hg1 0.250 0.250 0.000
Hg2 0.750 0.750 0.000
Pd1 0.133 0.367 0.500
Pd2 0.367 0.867 0.234
Pd3 0.633 0.133 0.766
Pd4 0.867 0.633 0.500

The density is 9.7 g/cm3. The calculation puts the energy at -4.807 eV per atom. The value obtained for the energy of formation is -0.58 eV per atom.

---

3.
The following is a DFT calculation (GGA-PBE) of an optimized crystal structure of Sr2LiRhF.

a = 5.191 Å, b = 5.191 Å, c = 4.023 Å
α = 90.00°, β = 90.00°, γ = 90.00°
Fractional positions:
Sr1 0.000 0.500 0.000
Sr2 0.500 0.000 0.000
Li1 0.000 0.000 0.500
Rh1 0.500 0.500 0.500
F1 0.000 0.000 0.000

For the formation energy from raw total energies, the calculation gives -5.8 eV per formula unit. The density is 4.7 g/cm3. The calculation puts the energy at -4.056 eV per atom.

---

4.
The following is a DFT calculation (GGA-PBE) of an optimized crystal structure of Cs3Ca2Br3Cl4.

a = 14.990 Å, b = 14.990 Å, c = 14.990 Å
α = 159.03°, β = 157.84°, γ = 30.70°
Fractional positions:
Cs1 0.000 0.000 0.000
Cs2 0.185 0.185 0.000
Cs3 0.815 0.815 0.000
Ca1 0.398 0.398 0.000
Ca2 0.602 0.602 0.000
Br1 0.096 0.596 0.500
Br2 0.500 0.500 0.000
Br3 0.904 0.404 0.500
Cl1 0.305 0.305 0.000
Cl2 0.399 0.899 0.500
Cl3 0.601 0.101 0.500
Cl4 0.695 0.695 0.000

For the formation energy from raw total energies, the calculation gives -25.2 eV per formula unit. The density is 3.1 g/cm3. The calculation puts the energy at -3.683 eV per atom.